(1)
! Zn2InSe, relaxed, DFT GGA-PBE; values from VASP
! E_form (uncorrected) = 144 meV per atom
! Raw total energy = -2.0489 eV/atom
! Magnetic moment = 0.00 μB per formula unit
&SYSTEM
  ibrav = 0, nat = 4, ntyp = 3
/
ATOMIC_SPECIES
Zn 65.41 Zn.upf
In 114.82 In.upf
Se 78.96 Se.upf
ATOMIC_POSITIONS crystal
Zn 0.0000 0.0000 0.0000
Zn 0.7500 0.2500 0.5000
In 0.2500 0.7500 0.5000
Se 0.5000 0.5000 0.0000
CELL_PARAMETERS angstrom
-2.2227 2.2227 4.2504
2.2227 -2.2227 4.2504
2.2227 2.2227 -4.2504



(2)
! MgPd3Au2, relaxed, DFT GGA-PBE; values from VASP
! Formation energy from the elements = -19.2 kJ per mole of atoms
! Raw total energy = -4.1534 eV/atom
! Magnetic moment = 0.00 μB per formula unit
&SYSTEM
  ibrav = 0, nat = 12, ntyp = 3
/
ATOMIC_SPECIES
Mg 24.30 Mg.upf
Pd 106.42 Pd.upf
Au 196.97 Au.upf
ATOMIC_POSITIONS crystal
Mg 0.1759 0.1759 0.0312
Mg 0.8241 0.8241 0.9688
Pd 0.0608 0.0608 0.4502
Pd 0.1986 0.1986 0.7349
Pd 0.4281 0.4281 0.2321
Pd 0.5719 0.5719 0.7679
Pd 0.8014 0.8014 0.2651
Pd 0.9392 0.9392 0.5498
Au 0.1923 0.1923 0.3720
Au 0.4352 0.4352 0.8600
Au 0.5648 0.5648 0.1400
Au 0.8077 0.8077 0.6280
CELL_PARAMETERS angstrom
9.4210 -1.4212 0.0000
9.4210 1.4212 0.0000
-2.7480 0.0000 7.5975



(3)
! Ca3W, relaxed, DFT GGA-PBE; values from VASP
! Formation energy from the elements = 92.1 kJ per mole of atoms
! Raw total energy = -3.7853 eV/atom
! Magnetic moment = 1.93 μB per formula unit
&SYSTEM
  ibrav = 0, nat = 4, ntyp = 2
/
ATOMIC_SPECIES
Ca 40.08 Ca.upf
W 183.84 W.upf
ATOMIC_POSITIONS crystal
Ca 0.0000 0.0000 0.5000
Ca 0.0000 0.5000 0.0000
Ca 0.5000 0.0000 0.0000
W 0.5000 0.5000 0.5000
CELL_PARAMETERS angstrom
4.8760 0.0000 0.0000
0.0000 4.8760 0.0000
0.0000 0.0000 4.8760



(4)
! FeRh2Br, relaxed, DFT GGA-PBE; values from VASP
! E_form (uncorrected) = 564 meV per atom
! Raw total energy = -5.6452 eV/atom
! Magnetic moment = 4.27 μB per formula unit
&SYSTEM
  ibrav = 0, nat = 4, ntyp = 3
/
ATOMIC_SPECIES
Fe 55.84 Fe.upf
Rh 102.91 Rh.upf
Br 79.90 Br.upf
ATOMIC_POSITIONS crystal
Fe 0.0000 0.0000 0.0000
Rh 0.0000 0.5000 0.5000
Rh 0.5000 0.0000 0.5000
Br 0.5000 0.5000 0.0000
CELL_PARAMETERS angstrom
2.7654 -4.3867 0.0000
2.7654 4.3867 0.0000
-1.4941 0.0000 2.5883